1.
The following is a GGA-PBE calculation of a relaxed TbTaBe17 crystal, from Alexandria via LeMat-Bulk.

abc: 5.6845 5.6845 5.6845
angles: 82.88 82.88 82.88
Closest atoms and distances in Å follow each position.
Sites, in units of the cell vectors:
Tb (0.0000, 0.0000, 0.0000)  19 Be 2.71-2.92
Ta (0.3264, 0.3264, 0.3264)  19 Be 2.59-2.90
Be (0.0078, 0.0078, 0.4998)  9 Be 2.17-2.40
Be (0.0078, 0.4998, 0.0078)  9 Be 2.17-2.40
Be (0.1641, 0.6568, 0.6568)  10 Be 2.12-2.34
Be (0.3221, 0.3221, 0.8181)  9 Be 2.15-2.38
Be (0.3221, 0.8181, 0.3221)  9 Be 2.15-2.38
Be (0.3775, 0.6584, 0.9497)  7 Be 2.11-2.36
Be (0.3775, 0.9497, 0.6584)  7 Be 2.11-2.36
Be (0.4998, 0.0078, 0.0078)  9 Be 2.17-2.40
Be (0.5622, 0.5622, 0.5622)  7 Be 2.10-2.31
Be (0.6568, 0.1641, 0.6568)  10 Be 2.12-2.34
Be (0.6568, 0.6568, 0.1641)  10 Be 2.12-2.34
Be (0.6584, 0.3775, 0.9497)  7 Be 2.11-2.36
Be (0.6584, 0.9497, 0.3775)  7 Be 2.11-2.36
Be (0.7536, 0.7536, 0.7536)  4 Be 2.10-2.34
Be (0.8181, 0.3221, 0.3221)  9 Be 2.15-2.38
Be (0.9497, 0.3775, 0.6584)  7 Be 2.11-2.36
Be (0.9497, 0.6584, 0.3775)  7 Be 2.11-2.36

Properties
Formation energy from the elements in eV per atom: -0.15

2.
The following is a GGA-PBE calculation of a relaxed NaHgF3 crystal, from Alexandria via LeMat-Bulk.

abc: 4.5656 4.5656 4.5656
angles: 90.00 90.00 90.00
Closest atoms and distances in Å follow each position.
Sites, in units of the cell vectors:
Na (0.0000, 0.0000, 0.0000)  12 F 3.23
Hg (0.5000, 0.5000, 0.5000)  6 F 2.28
F (0.0000, 0.5000, 0.5000)  2 Hg 2.28
F (0.5000, 0.0000, 0.5000)  2 Hg 2.28
F (0.5000, 0.5000, 0.0000)  2 Hg 2.28

Properties
E_form (uncorrected) in eV/f.u.: -8.82

Number 1: electronic total energy -4.354 eV per atom. Number 2: electronic total energy -3.210 eV per atom.